Entry 1:
Material: Rb2TaVO6
Method: DFT, GGA+U
State: relaxed

a b c (Å): 5.644 5.644 5.644
angles (deg): 60.00 60.00 60.00
Fractional coordinates of all 10 atoms:
O: 0.255 0.255 0.745
O: 0.255 0.745 0.255
O: 0.255 0.745 0.745
O: 0.745 0.745 0.255
O: 0.745 0.255 0.255
O: 0.745 0.255 0.745
Rb: 0.750 0.750 0.750
Rb: 0.250 0.250 0.250
V: 0.500 0.500 0.500
Ta: 0.000 0.000 0.000

## Properties
* uncorrected energy: -7.1927 eV/atom

=====

Entry 2:
Material: Rb3Ta2VO9
Method: DFT, GGA+U
State: relaxed

a b c (Å): 5.681 5.681 6.961
angles (deg): 90.00 90.00 120.00
Fractional coordinates of all 15 atoms:
V: 0.000 0.000 0.500
Rb: 0.000 0.000 0.000
Rb: 0.333 0.667 0.665
Rb: 0.667 0.333 0.335
Ta: 0.667 0.333 0.829
Ta: 0.333 0.667 0.171
O: 0.500 0.500 0.000
O: 0.837 0.674 0.662
O: 0.163 0.837 0.338
O: 0.326 0.163 0.662
O: 0.674 0.837 0.338
O: 0.000 0.500 0.000
O: 0.163 0.326 0.338
O: 0.837 0.163 0.662
O: 0.500 0.000 0.000

## Properties
* uncorrected energy: -7.4935 eV/atom

=====

Entry 3:
Material: Rb2TaWO6
Method: DFT, GGA+U
State: relaxed

a b c (Å): 5.758 5.757 5.790
angles (deg): 59.82 59.80 89.35
Fractional coordinates of all 10 atoms:
O: 0.755 0.755 0.000
O: 0.245 0.245 0.000
O: 0.742 0.258 0.000
O: 0.755 0.755 0.490
O: 0.245 0.245 0.510
O: 0.258 0.742 0.000
Rb: 0.750 0.250 0.500
Rb: 0.250 0.750 0.500
Ta: 0.000 0.000 0.000
W: 0.500 0.500 0.000

## Properties
* uncorrected energy: -7.3268 eV/atom

=====

Entry 4:
Material: RbTaWO2
Method: DFT, GGA+U
State: relaxed

a b c (Å): 4.227 6.144 4.227
angles (deg): 90.00 90.00 90.00
Fractional coordinates of all 5 atoms:
W: 0.000 0.500 0.000
Rb: 0.000 0.000 0.000
O: 0.500 0.000 0.000
O: 0.000 0.000 0.500
Ta: 0.500 0.500 0.500

## Properties
* uncorrected energy: -3.9459 eV/atom
* DOS(E_F): 4.900 states/eV/f.u.

=====

Entry 5:
Material: Rb2Ta3WO12
Method: DFT, GGA+U
State: relaxed

a b c (Å): 7.449 7.449 7.449
angles (deg): 60.17 60.17 60.17
Fractional coordinates of all 18 atoms:
O: 0.061 0.061 0.694
O: 0.939 0.306 0.939
O: 0.314 0.938 0.314
O: 0.686 0.686 0.062
O: 0.694 0.061 0.061
O: 0.061 0.694 0.061
O: 0.306 0.939 0.939
O: 0.939 0.939 0.306
O: 0.062 0.686 0.686
O: 0.314 0.314 0.938
O: 0.938 0.314 0.314
O: 0.686 0.062 0.686
Rb: 0.624 0.624 0.624
Rb: 0.376 0.376 0.376
Ta: 0.000 0.000 0.500
Ta: 0.500 0.000 0.000
Ta: 0.000 0.500 0.000
W: 0.000 0.000 0.000

## Properties
* uncorrected energy: -8.2643 eV/atom
* DOS(E_F): 11.730 states/eV/f.u.